VASP calculation (PBE) on a relaxed LiEr2Cd4 crystal.

Unit cell a=7.742 b=7.742 c=7.742 alpha=38.85 beta=38.85 gamma=38.85
Atoms (fractional coordinates):
Li (0.000, 0.000, 0.000)
Er (0.280, 0.280, 0.280)
Er (0.720, 0.720, 0.720)
Cd (0.128, 0.128, 0.128)
Cd (0.426, 0.426, 0.426)
Cd (0.574, 0.574, 0.574)
Cd (0.872, 0.872, 0.872)

## Properties
Its volume is 164.1 Å³/f.u. The value obtained for the energy relative to the elements is -0.145 eV/atom.